Entry from the Alexandria database: a relaxed HoSi2NiIr crystal (PBE-GGA).

Cell lengths 3.9759, 3.9759, 5.7239 Å; angles 110.32, 110.32, 90.00 degrees
With the nearest neighbours (Å) after each atom.
Fractional coordinates of all 5 atoms:
Si (0.6195, 0.6195, 0.2391)  2 Ni 2.38, 2 Ir 2.38, 1 Si 2.38
Si (0.3805, 0.3805, 0.7609)  2 Ni 2.38, 2 Ir 2.38, 1 Si 2.38
Ho (0.0000, 0.0000, 0.0000)  8 Si 3.05, 4 Ni 3.19, 4 Ir 3.19
Ni (0.7500, 0.2500, 0.5000)  4 Si 2.38
Ir (0.2500, 0.7500, 0.5000)  4 Si 2.38

Symmetry: No. 119
Formation energy without anion corrections, meV/atom: -931
Calculated density, g/cm³: 9.9
E, eV/atom: -6.94
DOS at the Fermi energy, states/eV/cell: 3.46

=====

Entry from the Alexandria database: a relaxed La4Bi2Te crystal (PBE-GGA).

Cell lengths 5.8310, 5.8310, 9.4491 Å; angles 72.03, 72.03, 90.00 degrees
With the nearest neighbours (Å) after each atom.
Fractional coordinates of all 7 atoms:
La (0.8196, 0.8196, 0.3607)  1 Te 3.07, 1 Bi 3.24
La (0.0000, 0.5000, 0.0000)  2 Te 2.92
Bi (0.6291, 0.6291, 0.7419)  1 La 3.24
Bi (0.3709, 0.3709, 0.2581)  1 La 3.24
Te (0.0000, 0.0000, 0.0000)  6 La 2.92-3.07
La (0.1804, 0.1804, 0.6393)  1 Te 3.07, 1 Bi 3.24
La (0.5000, 0.0000, 0.0000)  2 Te 2.92

Symmetry: No. 139
Relative energy among the computed polymorphs, meV/atom: 485
Formation energy without anion corrections, meV/atom: -579
Calculated density, g/cm³: 6.3
E, eV/atom: -4.95
DOS at the Fermi energy, states/eV/cell: 8.76

=====

Entry from the Alexandria database: a relaxed TcHgGePt2 crystal (PBE-GGA).

Cell lengths 4.6565, 4.6344, 4.6565 Å; angles 90.00, 90.00, 90.00 degrees
With the nearest neighbours (Å) after each atom.
Fractional coordinates of all 5 atoms:
Tc (0.0000, 0.5000, 0.0000)  2 Ge 2.32
Hg (0.5000, 0.5000, 0.5000)  8 Pt 3.28, 4 Tc 3.29
Ge (0.0000, 0.0000, 0.0000)  2 Tc 2.32, 4 Pt 2.33
Pt (0.0000, 0.0000, 0.5000)  2 Ge 2.33
Pt (0.5000, 0.0000, 0.0000)  2 Ge 2.33

Symmetry: No. 123
Calculated density, g/cm³: 12.6
E, eV/atom: -4.80
Formation enthalpy at 0 K, meV per atom: 674
DOS at the Fermi energy, states/eV/cell: 1.95